KLi2Np3S8: relaxed, PBE-GGA.

Cell lengths 8.225, 8.225, 7.778 Å; angles 58.08, 58.08, 60.00 degrees
Each line ends with the local moment (μB).
Atoms (fractional coordinates):
S 0.723 0.723 0.234  -0.14
Li 0.118 0.118 0.646  0.00
S 0.720 0.246 0.788  -0.12
Np 0.501 0.501 0.001  3.06
S 0.723 0.319 0.234  -0.14
K 0.907 0.906 0.281  -0.01
S 0.258 0.258 0.227  -0.11
Li 0.494 0.494 0.518  0.00
S 0.319 0.723 0.234  -0.14
S 0.246 0.246 0.788  -0.12
Np 0.998 0.501 0.001  3.06
S 0.246 0.720 0.788  -0.12
Np 0.501 0.998 0.001  3.06
S 0.739 0.739 0.782  -0.12

Computed properties:
Its final energy is -6.71 eV/atom.